Record 1
Here is crystalline BC at its relaxed geometry from Alexandria. Energies are from PBE-GGA.

The space group is Cm (No. 8) and the conventional cell measures 12.223, 2.637 and 5.372 Å, with angles of 90.00, 104.19 and 90.00 degrees. The inequivalent atoms are B at (0.000, 0.000, 0.000), B at (0.003, 0.000, 0.507), B at (0.114, 0.500, 0.065), B at (0.244, 0.000, 0.450), B at (0.255, 0.000, 0.862), B at (0.376, 0.000, 0.126), C at (0.106, 0.500, 0.565), C at (0.177, 0.500, 0.363), C at (0.177, 0.500, 0.838), C at (0.355, 0.000, 0.692), C at (0.425, 0.500, 0.708) and C at (0.432, 0.500, 0.215).

As for the crystal system: monoclinic. The value obtained for the density is 2.708 g/cm³. As for the formation energy: 0.7 eV/f.u. The calculation puts the polymorph energy (0 for the lowest one) at 200 meV/atom.

Record 2
Here is crystalline B3C2 at its relaxed geometry from Alexandria. Energies are from PBE-GGA.

The space group is R-3m (No. 166, hexagonal axes) and the conventional cell measures 2.6581, 2.6581 and 39.4173 Å, with angles of 90.00, 90.00 and 120.00 degrees. The inequivalent atoms are B at (0.0000, 0.0000, 0.0515), B at (0.0000, 0.0000, 0.2133), B at (0.0000, 0.0000, 0.4279), C at (0.0000, 0.0000, 0.1733) and C at (0.0000, 0.0000, 0.3880).

As for the crystal system: trigonal. The value obtained for the density is 2.332 g/cm³. As for the formation energy: 1.5 eV/f.u. The calculation puts the polymorph energy (0 for the lowest one) at 91 meV/atom.

Record 3
Here is crystalline BC at its relaxed geometry from Alexandria. Energies are from PBE-GGA.

The space group is P1 (No. 1) and the conventional cell measures 3.469, 4.471 and 4.903 Å, with angles of 90.60, 110.61 and 111.77 degrees. The inequivalent atoms are B at (0.000, 0.000, 0.000), B at (0.041, 0.885, 0.661), B at (0.579, 0.593, 0.064), B at (0.789, 0.283, 0.179), B at (0.849, 0.302, 0.842), C at (0.219, 0.599, 0.751), C at (0.252, 0.457, 0.482), C at (0.389, 0.174, 0.552), C at (0.412, 0.011, 0.291) and C at (0.557, 0.731, 0.362).

As for the crystal system: triclinic. The value obtained for the density is 2.906 g/cm³. As for the formation energy: 0.8 eV/f.u. The calculation puts the polymorph energy (0 for the lowest one) at 229 meV/atom.

Record 4
Here is crystalline BC at its relaxed geometry from Alexandria. Energies are from PBE-GGA.

The space group is Pm (No. 6) and the conventional cell measures 4.616, 2.669 and 6.686 Å, with angles of 90.00, 90.42 and 90.00 degrees. The inequivalent atoms are B at (0.000, 0.000, 0.000), B at (0.000, 0.000, 0.354), B at (0.132, 0.500, 0.737), B at (0.327, 0.000, 0.599), B at (0.501, 0.500, 0.302), B at (0.709, 0.000, 0.731), C at (0.174, 0.500, 0.975), C at (0.335, 0.000, 0.371), C at (0.495, 0.500, 0.034), C at (0.653, 0.000, 0.978), C at (0.805, 0.500, 0.624) and C at (0.823, 0.500, 0.396).

As for the crystal system: monoclinic. The value obtained for the density is 2.761 g/cm³. As for the formation energy: 0.7 eV/f.u. The calculation puts the polymorph energy (0 for the lowest one) at 174 meV/atom.